#P
# meta-GGA SCAN FeMo2Rh, single point on PBEsol structure
data_FeMo2Rh
_cell_length_a 2.6880
_cell_length_b 2.6880
_cell_length_c 26.6776
_cell_angle_alpha 90.00
_cell_angle_beta 90.00
_cell_angle_gamma 120.00
_space_group_name_H-M_alt 'R 3 m'
_space_group_IT_number 160
_space_group_name_Hall 'R 3 -2"'
loop_
_atom_site_label
_atom_site_fract_x
_atom_site_fract_y
_atom_site_fract_z
Fe1 0.0000 0.0000 0.0000
Mo1 0.0000 0.0000 0.5059
Mo2 0.0000 0.0000 0.7471
Rh1 0.0000 0.0000 0.2557
# Crystal system: trigonal
# Calculated density in g/cm3: 10.46

=====

#Q
# meta-GGA SCAN FeMo2Rh, single point on PBEsol structure
data_FeMo2Rh
_cell_length_a 3.769
_cell_length_b 3.769
_cell_length_c 7.588
_cell_angle_alpha 90.00
_cell_angle_beta 90.00
_cell_angle_gamma 90.00
_space_group_name_H-M_alt 'I 4/m m m'
_space_group_IT_number 139
_space_group_name_Hall '-I 4 2'
loop_
_atom_site_label
_atom_site_fract_x
_atom_site_fract_y
_atom_site_fract_z
Fe1 0.000 0.000 0.000
Mo1 0.000 0.500 0.250
Rh1 0.000 0.000 0.500
# Crystal system: tetragonal
# Calculated density in g/cm3: 10.80

=====

What is the most stable structure shown above? It is #Q.